1.
Computed, not measured: an optimized crystal structure of Pm12Y5Ho2 at the GGA-PBE level of DFT.

Unit cell a=7.117 b=8.753 c=11.720 alpha=109.18 beta=107.68 gamma=90.00
Fractional coordinates of all 19 atoms:
Pm (0.856, 0.936, 0.713)
Pm (0.637, 0.615, 0.788)
Ho (0.743, 0.000, 0.000)
Pm (0.546, 0.206, 0.600)
Y (0.000, 0.500, 0.000)
Y (0.249, 0.491, 0.498)
Y (0.751, 0.509, 0.502)
Pm (0.849, 0.385, 0.212)
Pm (0.144, 0.064, 0.287)
Pm (0.947, 0.794, 0.400)
Ho (0.257, 0.000, 0.000)
Y (0.650, 0.097, 0.300)
Pm (0.151, 0.615, 0.788)
Pm (0.452, 0.306, 0.904)
Y (0.350, 0.903, 0.700)
Pm (0.363, 0.385, 0.212)
Pm (0.454, 0.794, 0.400)
Pm (0.548, 0.694, 0.096)
Pm (0.053, 0.206, 0.600)

E	-95.91	eV for the cell shown
DOS(E_F)	27.115	states/eV/cell
crystal system	monoclinic
excess energy over the best structure of this formula in the dataset	0.039	eV/atom
formation energy from the elements	0.14	eV/atom

2.
Computed, not measured: an optimized crystal structure of Pm8Y4Ho at the GGA-PBE level of DFT.

Unit cell a=11.165 b=11.165 c=7.882 alpha=90.00 beta=135.09 gamma=120.00
Fractional coordinates of all 13 atoms:
Y (0.000, 0.500, 0.000)
Pm (0.999, 0.241, 0.239)
Y (0.500, 0.000, 0.000)
Pm (0.518, 0.759, 0.277)
Ho (0.000, 0.500, 0.500)
Y (0.000, 0.000, 0.000)
Pm (0.519, 0.759, 0.761)
Y (0.500, 0.500, 0.000)
Pm (0.481, 0.241, 0.239)
Pm (0.001, 0.242, 0.761)
Pm (0.482, 0.241, 0.723)
Pm (0.999, 0.758, 0.239)
Pm (0.001, 0.759, 0.761)

E	-62.07	eV for the cell shown
DOS(E_F)	20.946	states/eV/cell
crystal system	trigonal
formation energy from the elements	0.49	eV/atom

3.
Computed, not measured: an optimized crystal structure of Pm6Y3Ho2 at the GGA-PBE level of DFT.

Unit cell a=4.793 b=4.793 c=17.094 alpha=98.06 beta=98.06 gamma=90.00
Fractional coordinates of all 11 atoms:
Pm (0.381, 0.881, 0.761)
Y (0.799, 0.799, 0.598)
Y (0.201, 0.201, 0.402)
Pm (0.695, 0.695, 0.391)
Pm (0.619, 0.119, 0.239)
Pm (0.881, 0.381, 0.761)
Ho (0.545, 0.545, 0.091)
Y (0.000, 0.000, 0.000)
Pm (0.305, 0.305, 0.609)
Pm (0.119, 0.619, 0.239)
Ho (0.455, 0.455, 0.909)

E	-53.89	eV for the cell shown
DOS(E_F)	15.130	states/eV/cell
crystal system	tetragonal
excess energy over the best structure of this formula in the dataset	0.275	eV/atom
formation energy from the elements	0.29	eV/atom